Below is a PBEsol-optimized structure of BaZnW2, with properties calculated at the SCAN level.

## Properties
The density of states at the Fermi level is 3.38 states/eV/f.u. Its crystal system is orthorhombic. The total magnetic moment comes out at 0.00 μB per cell. The value obtained for the total energy is -46.9294 eV/atom. Its symmetry is Immm, No. 71.

```
data_BaZnW2
_space_group_name_H-M_alt 'P 1'
_space_group_IT_number 1
_space_group_name_Hall 'P 1'
_cell_length_a 2.775
_cell_length_b 5.122
_cell_length_c 6.286
_cell_angle_alpha 114.04
_cell_angle_beta 102.75
_cell_angle_gamma 90.00
loop_
_atom_site_label
_atom_site_fract_x
_atom_site_fract_y
_atom_site_fract_z
Ba1 0.000 0.500 0.000
W1 0.785 0.785 0.569
W2 0.215 0.215 0.431
Zn1 0.500 0.000 0.000
```